First-principles (GGA+U) data for a relaxed structure of Fe2Mo4O7, as listed in the Alexandria database.

Cell lengths 9.6971, 9.6971, 6.1680 Å; angles 71.53, 71.53, 38.92 degrees
With the nearest neighbours (Å) after each atom.
Atoms (fractional coordinates):
Fe1 0.4467 0.4467 0.3017  4 O 2.02-2.09
Fe2 0.5543 0.5543 0.6911  4 O 1.93-1.97
Fe3 0.0001 0.0001 0.9891  6 O 2.13-2.23
Fe4 0.9971 0.9971 0.4876  6 O 2.14-2.23
Mo1 0.6177 0.1227 0.8774  5 O 2.14-2.16
Mo2 0.1227 0.6177 0.8774  5 O 2.14-2.16
Mo3 0.3756 0.8768 0.1210  5 O 2.08-2.22
Mo4 0.8768 0.3756 0.1210  5 O 2.08-2.22
Mo5 0.7511 0.7511 0.2705  4 O 2.10-2.20
Mo6 0.2490 0.2490 0.7782  4 O 2.13-2.38
Mo7 0.2475 0.2475 0.2886  4 O 2.12-2.14
Mo8 0.7487 0.7487 0.7539  4 O 2.12-2.21
O1 0.7752 0.2357 0.2304  3 Fe 2.02-2.14, 1 Mo 2.08
O2 0.7475 0.2416 0.7418  1 Fe 1.93, 1 Mo 2.14
O3 0.2416 0.7475 0.7418  1 Fe 1.93, 1 Mo 2.14
O4 0.2357 0.7752 0.2304  3 Fe 2.02-2.14, 1 Mo 2.08
O5 0.8715 0.8715 0.6514  3 Mo 2.12-2.14, 1 Fe 2.18
O6 0.1257 0.1257 0.3486  3 Mo 2.13, 1 Fe 2.21
O7 0.1256 0.1256 0.8975  3 Mo 2.12-2.13, 1 Fe 2.17
O8 0.8716 0.8716 0.1007  3 Mo 2.10-2.14, 1 Fe 2.21
O9 0.6219 0.6219 0.8788  1 Fe 1.96, 1 Mo 2.19
O10 0.3703 0.3703 0.1137  1 Fe 2.09, 3 Mo 2.14-2.16
O11 0.3726 0.3726 0.6423  1 Fe 2.08, 3 Mo 2.13-2.15
O12 0.6236 0.6236 0.3674  1 Fe 1.97, 1 Mo 2.20
O13 0.5046 0.9917 0.5029  3 Mo 2.12-2.21
O14 0.9917 0.5046 0.5029  3 Mo 2.12-2.21

Properties
Energy ... -180.19 eV for the cell shown
Spin magnetization ... 28.0 μB per cell